[1]
Entry from Alexandria via LeMat-Bulk: an optimized crystal structure of NaCdAgSn (PBE-GGA).

Calculated values
E above lowest polymorph in meV/atom: 0
VASP energy in eV/atom: -2.342

a b c (Å): 7.1228 7.1228 7.1228
angles (deg): 90.00 90.00 90.00
Last column: nearest neighbours and their distance in Å.
Space group F-43m (No. 216)
Inequivalent atoms, fractional coordinates:
Na  0.0000  0.0000  0.0000  4 Ag 3.08, 4 Cd 3.08
Cd  0.2500  0.2500  0.7500  4 Sn 3.08, 4 Na 3.08
Ag  0.2500  0.2500  0.2500  4 Sn 3.08, 4 Na 3.08
Sn  0.0000  0.0000  0.5000  4 Cd 3.08, 4 Ag 3.08

[2]
Entry from Alexandria via LeMat-Bulk: an optimized crystal structure of NaCdAgSn (PBE-GGA).

Calculated values
E above lowest polymorph in meV/atom: 32
VASP energy in eV/atom: -2.311

a b c (Å): 8.5302 5.1481 5.1443
angles (deg): 90.00 127.04 90.00
Last column: nearest neighbours and their distance in Å.
Space group Cm (No. 8)
Inequivalent atoms, fractional coordinates:
Na  0.0000  0.0000  0.0000  4 Ag 3.08-3.09, 4 Sn 3.08-3.09, 2 Cd 3.40-3.41
Cd  0.9999  0.5000  0.4986  4 Sn 3.08-3.09, 4 Ag 3.08-3.09, 2 Na 3.40-3.41
Ag  0.2501  0.5000  0.2489  4 Na 3.08-3.09, 4 Cd 3.08-3.09, 2 Sn 3.40-3.41
Sn  0.2500  0.0000  0.7501  4 Cd 3.08-3.09, 4 Na 3.08-3.09, 2 Ag 3.40-3.41

[3]
Entry from Alexandria via LeMat-Bulk: an optimized crystal structure of NaSrCd2Ag2 (PBE-GGA).

Calculated values
VASP energy in eV/atom: -1.960

a b c (Å): 4.9279 4.9279 7.3712
angles (deg): 90.00 90.00 120.00
Last column: nearest neighbours and their distance in Å.
Space group P-3m1 (No. 164)
Inequivalent atoms, fractional coordinates:
Na  0.0000  0.0000  0.0000  6 Cd 3.22, 6 Ag 3.27
Sr  0.0000  0.0000  0.5000  6 Ag 3.52, 6 Cd 3.58, 2 Na 3.69
Cd  0.3333  0.6667  0.7958  4 Ag 2.85-3.12
Ag  0.3333  0.6667  0.2197  4 Cd 2.85-3.12

[4]
Entry from Alexandria via LeMat-Bulk: an optimized crystal structure of NaSrCd2Ag (PBE-GGA).

Calculated values
VASP energy in eV/atom: -1.570

a b c (Å): 5.3794 5.3794 5.3463
angles (deg): 90.00 90.00 90.00
Last column: nearest neighbours and their distance in Å.
Space group P4/mmm (No. 123)
Inequivalent atoms, fractional coordinates:
Na  0.0000  0.0000  0.0000  2 Ag 2.67
Sr  0.5000  0.5000  0.0000  8 Cd 3.79, 4 Na 3.80
Cd  0.0000  0.5000  0.5000  2 Ag 2.69
Ag  0.0000  0.0000  0.5000  2 Na 2.67, 4 Cd 2.69